1.
CaAlFe2Ru at its PBEsol-relaxed geometry. Source: the Alexandria database, functional SCAN.

```
5
Lattice="4.436 0.000 0.000 0.000 4.436 0.000 0.000 0.000 4.515" Properties=species:S:1:pos:R:3 pbc="T T T"
Ca 0.000 0.000 0.000
Al 2.218 2.218 2.258
Fe 0.000 2.218 2.258
Fe 2.218 0.000 2.258
Ru 2.218 2.218 0.000
```

Summary:
Its formation energy is 0.6321 eV per atom. The space group is P4/mmm, No. 123.


2.
Ca2AlFeSb at its PBEsol-relaxed geometry. Source: the Alexandria database, functional SCAN.

```
5
Lattice="5.236 0.000 0.000 0.000 5.236 0.000 0.000 0.000 4.740" Properties=species:S:1:pos:R:3 pbc="T T T"
Ca 0.000 2.618 0.000
Ca 2.618 0.000 0.000
Al 0.000 0.000 2.370
Fe 2.618 2.618 0.000
Sb 2.618 2.618 2.370
```

Summary:
For the energy relative to the elements, uncorrected, the calculation gives 0.180 eV per atom. The space group is P4/mmm, No. 123.


3.
Ca2AlGa at its PBEsol-relaxed geometry. Source: the Alexandria database, functional SCAN.

```
4
Lattice="0.000 3.640 3.640 3.640 0.000 3.640 3.640 3.640 0.000" Properties=species:S:1:pos:R:3 pbc="T T T"
Ca 1.820 1.820 1.820
Ca 5.460 5.460 5.460
Al 0.000 0.000 0.000
Ga 3.640 3.640 3.640
```

Summary:
Its formation energy is -0.3204 eV per atom. The space group is Fm-3m, No. 225.


4.
Rb2CaAlGa at its PBEsol-relaxed geometry. Source: the Alexandria database, functional SCAN.

```
5
Lattice="6.937 0.000 0.000 0.000 6.937 0.000 0.000 0.000 4.680" Properties=species:S:1:pos:R:3 pbc="T T T"
Rb 0.000 3.469 0.000
Rb 3.469 0.000 0.000
Ca 0.000 0.000 2.340
Al 3.469 3.469 0.000
Ga 3.469 3.469 2.340
```

Summary:
Its formation energy is 0.3814 eV per atom. The space group is P4/mmm, No. 123.


5.
Ca10Al6Ge9 at its PBEsol-relaxed geometry. Source: the Alexandria database, functional SCAN.

```
50
Lattice="6.887 3.976 6.936 -6.887 3.976 6.936 0.000 -7.953 6.936" Properties=species:S:1:pos:R:3 pbc="T T T"
Ca 0.000 0.000 0.000
Ca -2.014 -4.464 6.936
Ca -4.873 0.488 6.936
Ca 0.000 -2.307 5.290
Ca -1.998 1.153 5.290
Ca -2.028 -3.513 10.404
Ca -4.057 0.000 10.404
Ca 2.014 -4.464 6.936
Ca -2.859 3.976 6.936
Ca 1.998 1.153 5.290
Ca 2.028 -3.513 10.404
Ca 0.000 0.000 10.404
Ca -2.028 3.513 10.404
Ca -1.998 -1.153 15.519
Ca 4.873 0.488 6.936
Ca 2.859 3.976 6.936
Ca 4.057 0.000 10.404
Ca 2.028 3.513 10.404
Ca 1.998 -1.153 15.519
Ca 0.000 2.307 15.519
Al -5.396 -3.116 10.891
Al -1.972 -1.139 7.793
Al 0.000 -6.231 9.918
Al -5.396 3.116 9.918
Al 1.972 -1.139 7.793
Al 0.000 2.277 7.793
Al 0.000 -2.277 13.016
Al -1.972 1.139 13.016
Al 5.396 -3.116 10.891
Al 0.000 6.231 10.891
Al 1.972 1.139 13.016
Al 5.396 3.116 9.918
Ge 0.000 -5.334 4.929
Ge -4.106 -2.371 8.539
Ge -4.619 2.667 4.929
Ge 0.000 -2.575 8.400
Ge -2.230 1.288 8.400
Ge -4.619 -2.667 15.880
Ge -2.230 -1.288 12.409
Ge 0.000 -4.742 12.270
Ge -4.106 2.371 12.270
Ge 4.106 -2.371 8.539
Ge 0.000 4.742 8.539
Ge 2.230 1.288 8.400
Ge 4.619 2.667 4.929
Ge 2.230 -1.288 12.409
Ge 0.000 2.575 12.409
Ge 4.619 -2.667 15.880
Ge 4.106 2.371 12.270
Ge 0.000 5.334 15.880
```

Summary:
Its formation energy is -0.5923 eV per atom. The space group is R-3m, No. 166.


6.
CaAl2Ge2 at its PBEsol-relaxed geometry. Source: the Alexandria database, functional SCAN.

```
5
Lattice="4.163 0.000 0.000 -2.082 3.605 0.000 0.000 0.000 7.032" Properties=species:S:1:pos:R:3 pbc="T T T"
Ca 0.000 0.000 0.000
Al 0.000 2.404 4.428
Al 2.082 1.202 2.604
Ge 0.000 2.404 1.808
Ge 2.082 1.202 5.224
```

Summary:
Its formation energy is -0.4444 eV per atom. The space group is P-3m1, No. 164.


7.
Ca3Al2Ge2 at its PBEsol-relaxed geometry. Source: the Alexandria database, functional SCAN.

```
7
Lattice="-2.042 2.243 9.237 2.042 -2.243 9.237 2.042 2.243 -9.237" Properties=species:S:1:pos:R:3 pbc="T T T"
Ca 0.000 0.000 0.000
Ca 2.042 0.000 3.442
Ca 0.000 2.243 5.794
Al 0.000 0.000 7.977
Al 0.000 0.000 10.497
Ge 2.042 0.000 6.536
Ge 0.000 2.243 2.700
```

Summary:
Its formation energy is -0.5699 eV per atom. The space group is Immm, No. 71.


8.
CaAlGeP2 at its PBEsol-relaxed geometry. Source: the Alexandria database, functional SCAN.

```
5
Lattice="4.742 0.000 0.000 0.000 4.742 0.000 0.000 0.000 4.736" Properties=species:S:1:pos:R:3 pbc="T T T"
Ca 0.000 0.000 0.000
Al 2.371 2.371 2.368
Ge 2.371 2.371 0.000
P 0.000 2.371 2.368
P 2.371 0.000 2.368
```

Summary:
Its formation energy is 0.0376 eV per atom. The space group is P4/mmm, No. 123.


9.
Ca2MnAl2Si3HO13 at its PBEsol-relaxed geometry. Source: the Alexandria database, functional SCAN.

```
44
Lattice="8.837 0.000 0.000 0.000 5.705 0.000 -4.345 0.000 9.104" Properties=species:S:1:pos:R:3 pbc="T T T"
Ca -0.986 1.426 3.919
Ca 1.552 1.426 1.364
Ca 2.940 4.278 7.740
Ca 5.477 4.278 5.185
Mn -1.564 1.426 7.063
Mn 6.055 4.278 2.041
Al 4.418 0.000 0.000
Al 2.246 0.000 4.552
Al 4.418 2.852 0.000
Al 2.246 2.852 4.552
Si -2.727 4.278 8.679
Si 0.418 4.278 2.489
Si -0.187 4.278 6.199
Si 4.678 1.426 2.904
Si 4.074 1.426 6.614
Si 7.218 1.426 0.425
H 0.952 1.426 6.145
H 3.540 4.278 2.958
O -0.706 1.426 1.718
O -1.145 4.278 2.900
O 0.543 4.278 0.841
O -1.102 2.970 5.848
O -1.102 5.587 5.848
O -1.813 2.902 8.817
O -1.813 5.655 8.817
O 1.161 2.942 3.046
O 1.161 5.615 3.046
O 1.171 1.426 5.177
O 1.248 4.278 5.383
O 0.124 1.426 7.871
O 0.311 4.278 7.800
O 4.181 1.426 1.304
O 4.367 4.278 1.233
O 3.244 1.426 3.720
O 3.320 4.278 3.927
O 3.330 0.089 6.057
O 3.330 2.763 6.057
O 6.305 0.049 0.286
O 6.305 2.803 0.286
O 5.593 0.118 3.255
O 5.593 2.734 3.255
O 3.948 1.426 8.263
O 5.637 1.426 6.203
O 5.197 4.278 7.385
```

Summary:
The calculation puts the total energy at -10.6484 eV/atom. The space group is P2_1/m, No. 11.


10.
Ca3Al2H12O12 at its PBEsol-relaxed geometry. Source: the Alexandria database, functional SCAN.

```
116
Lattice="-6.236 6.236 6.236 6.236 -6.236 6.236 6.236 6.236 -6.236" Properties=species:S:1:pos:R:3 pbc="T T T"
Ca 3.118 1.559 0.000
Ca 6.236 3.118 -1.559
Ca 1.559 0.000 3.118
Ca 7.795 0.000 3.118
Ca 0.000 3.118 1.559
Ca 3.118 -1.559 6.236
Ca 3.118 7.795 0.000
Ca 6.236 3.118 4.677
Ca -1.559 6.236 3.118
Ca 4.677 6.236 3.118
Ca 0.000 3.118 7.795
Ca 3.118 4.677 6.236
Al 0.000 0.000 0.000
Al 3.118 3.118 -3.118
Al 3.118 -3.118 3.118
Al 6.236 0.000 0.000
Al -3.118 3.118 3.118
Al 0.000 6.236 0.000
Al 0.000 0.000 6.236
Al 3.118 3.118 3.118
H 5.139 -3.771 4.408
H 10.452 1.290 -0.652
H 8.702 1.828 -1.098
H 6.889 -4.216 4.946
H 4.408 5.139 -3.771
H 4.946 -0.652 2.020
H 8.257 1.290 0.652
H 7.334 -2.466 4.408
H 4.946 6.889 -4.216
H 4.408 -1.098 3.771
H 5.584 -2.020 4.946
H 10.007 1.828 1.098
H 3.771 4.408 -1.098
H 5.584 2.020 1.290
H 4.946 5.584 -2.020
H 4.408 1.098 2.466
H 2.020 4.946 -0.652
H 7.334 2.466 1.828
H 4.408 7.334 -2.466
H 4.946 0.652 4.216
H 2.466 4.408 1.098
H 6.889 4.216 1.290
H 4.216 4.946 0.652
H 5.139 3.771 1.828
H 1.098 2.466 4.408
H 2.020 1.290 5.584
H -0.652 2.020 4.946
H 3.771 1.828 5.139
H 1.290 5.584 2.020
H 1.828 -1.098 8.702
H -1.098 3.771 4.408
H 4.216 1.290 6.889
H 1.828 5.139 3.771
H 1.290 0.652 8.257
H 0.652 4.216 4.946
H 2.466 1.828 7.334
H -3.771 4.408 5.139
H 0.652 8.257 1.290
H 1.828 7.334 2.466
H 1.290 -0.652 10.452
H -1.098 8.702 1.828
H -2.020 4.946 5.584
H 1.290 6.889 4.216
H 1.828 1.098 10.007
H -0.652 10.452 1.290
H -2.466 4.408 7.334
H -4.216 4.946 6.889
H 1.098 10.007 1.828
O 1.760 -0.350 0.653
O 7.595 3.771 -3.469
O 7.996 0.350 0.653
O 7.595 -2.465 3.469
O 5.886 -0.653 1.760
O 9.705 -1.358 2.465
O 0.653 1.760 -0.350
O 8.702 2.768 -1.358
O 3.771 3.469 -1.358
O 5.583 1.760 0.350
O -0.350 0.653 1.760
O 3.469 -1.358 3.771
O 5.886 5.583 -1.760
O 3.469 1.358 2.465
O 3.771 -3.469 7.595
O 5.583 -1.760 5.886
O 2.465 3.469 1.358
O 6.889 4.477 0.350
O 3.469 7.595 -2.465
O 5.886 0.653 4.477
O 1.760 5.886 -0.653
O 7.595 2.465 2.768
O 1.358 2.465 3.469
O 1.760 0.350 5.583
O 4.477 5.886 0.653
O 4.878 3.771 2.768
O -1.358 3.771 3.469
O 4.477 0.350 6.889
O 0.350 5.583 1.760
O 2.768 -1.358 8.702
O -0.653 1.760 5.886
O 3.771 2.768 4.878
O 0.653 7.996 0.350
O 2.465 9.705 -1.358
O 2.768 4.878 3.771
O 0.350 0.653 7.996
O 2.768 7.595 2.465
O 6.587 5.583 4.477
O 0.653 4.477 5.886
O 2.465 2.768 7.595
O -2.465 3.469 7.595
O 5.583 4.477 6.587
O -3.469 7.595 3.771
O 0.350 6.889 4.477
O -1.358 8.702 2.768
O -1.760 5.886 5.583
O -1.358 2.465 9.705
O 4.477 6.587 5.583
```

Summary:
The calculation puts the total energy at -7.5104 eV/atom. The space group is Ia-3d, No. 230.


11.
CaAl6H12S4O28 at its PBEsol-relaxed geometry. Source: the Alexandria database, functional SCAN.

```
51
Lattice="3.486 2.013 11.013 -3.486 2.013 11.013 0.000 -4.026 11.013" Properties=species:S:1:pos:R:3 pbc="T T T"
Ca 0.000 0.000 0.000
Al 0.000 -1.997 13.726
Al -1.729 0.998 13.726
Al -1.729 -0.998 19.314
Al 1.729 0.998 13.726
Al 1.729 -0.998 19.314
Al 0.000 1.997 19.314
H -2.003 -1.156 14.751
H 0.000 -1.599 9.154
H -1.385 0.799 9.154
H 0.000 -2.313 18.289
H -2.003 1.156 18.289
H -1.385 -0.799 23.886
H 1.385 0.799 9.154
H 2.003 -1.156 14.751
H 0.000 2.313 14.751
H 1.385 -0.799 23.886
H 0.000 1.599 23.886
H 2.003 1.156 18.289
S 0.000 0.000 5.003
S 0.000 0.000 11.331
S 0.000 0.000 21.709
S 0.000 0.000 28.037
O 0.000 -2.557 8.893
O -2.214 1.278 8.893
O -2.271 -1.311 17.518
O -1.366 -0.789 14.092
O 0.000 0.000 6.469
O 0.000 -1.402 11.827
O -1.214 0.701 11.827
O 0.000 -2.623 15.522
O -2.271 1.311 15.522
O 0.000 0.000 9.864
O -2.214 -1.278 24.146
O -1.214 -0.701 21.213
O 0.000 -1.577 18.948
O -1.366 0.789 18.948
O 1.366 -0.789 14.092
O 0.000 1.577 14.092
O 1.214 0.701 11.827
O 2.214 1.278 8.893
O 0.000 0.000 23.176
O 2.271 -1.311 17.518
O 0.000 2.623 17.518
O 1.214 -0.701 21.213
O 0.000 1.402 21.213
O 0.000 0.000 26.570
O 1.366 0.789 18.948
O 2.271 1.311 15.522
O 2.214 -1.278 24.146
O 0.000 2.557 24.146
```

Summary:
The calculation puts the total energy at -8.1692 eV/atom. The space group is R-3m, No. 166.


12.
CaYHf2Al at its PBEsol-relaxed geometry. Source: the Alexandria database, functional SCAN.

```
5
Lattice="5.127 0.000 0.000 0.000 5.127 0.000 0.000 0.000 5.308" Properties=species:S:1:pos:R:3 pbc="T T T"
Ca 0.000 0.000 0.000
Y 0.000 0.000 2.654
Hf 0.000 2.564 2.654
Hf 2.564 0.000 2.654
Al 2.564 2.564 0.000
```

Summary:
Its formation energy is 1.4870 eV per atom. The space group is P4/mmm, No. 123.